# 1
Entry from Alexandria: crystalline DyZrGaRu at its relaxed geometry (PBE).

- Crystal system: cubic
- Magnetization: 0.0 μB/f.u.
- DFT total energy: -6.778 eV/atom

Cell: 4.8179 4.8179 4.8179 Å, 60.00 60.00 60.00°
Atoms (fractional coordinates):
Dy  0.0000  0.0000  0.0000
Zr  0.5000  0.5000  0.5000
Ga  0.2500  0.2500  0.2500
Ru  0.7500  0.7500  0.7500

# 2
Entry from Alexandria: crystalline PdPt3C at its relaxed geometry (PBE).

- Crystal system: cubic
- Magnetization: 2.2 μB/f.u.
- Offset from the most stable computed form: 2386 meV/atom

Cell: 4.8475 4.8475 4.8475 Å, 90.00 90.00 90.00°
Atoms (fractional coordinates):
Pd  0.0000  0.0000  0.0000
Pt  0.0000  0.0000  0.5000
Pt  0.0000  0.5000  0.0000
Pt  0.5000  0.0000  0.0000
C  0.5000  0.5000  0.5000

# 3
Entry from Alexandria: crystalline Er4Ir3Rh at its relaxed geometry (PBE).

- Crystal system: tetragonal
- Magnetization: 0.0 μB/f.u.
- DFT total energy: -7.426 eV/atom

Cell: 4.8671 4.8671 6.6120 Å, 90.00 90.00 90.00°
Atoms (fractional coordinates):
Er  0.0000  0.5000  0.2492
Er  0.0000  0.5000  0.7508
Er  0.5000  0.0000  0.2492
Er  0.5000  0.0000  0.7508
Ir  0.0000  0.0000  0.0000
Ir  0.0000  0.0000  0.5000
Ir  0.5000  0.5000  0.0000
Rh  0.5000  0.5000  0.5000

# 4
Entry from Alexandria: crystalline Pr2ErTm at its relaxed geometry (PBE).

- Crystal system: tetragonal
- Magnetization: 0.0 μB/f.u.
- Offset from the most stable computed form: 5 meV/atom

Cell: 5.1445 5.1445 4.9967 Å, 90.00 90.00 90.00°
Atoms (fractional coordinates):
Pr  0.0000  0.5000  0.0000
Pr  0.5000  0.0000  0.0000
Er  0.0000  0.0000  0.5000
Tm  0.5000  0.5000  0.5000

What is the magnetization in the second record?
2.2 μB/f.u.

Which formula does entry 2 have?
PdPt3C